Compound: TbNd2Tm
Source: Alexandria via LeMat-Bulk
Functional: PBE
Structure: optimized geometry

Output
E_form   0.0195 eV/atom
Total moment   0.00 μB/cell
Relative energy among the computed polymorphs   0.005 eV per atom

```
TbNd2Tm
1.0
4.930 0.000 -1.318
-0.499 4.725 -1.867
-1.001 -0.440 6.134
Tm Nd Tb
1 2 1
Cartesian
2.216 2.363 -1.592
3.429 4.284 2.946
3.073 0.963 1.615
0.357 3.323 1.336
```

Compound: TbNd5Tm
Source: Alexandria via LeMat-Bulk
Functional: PBE
Structure: optimized geometry

Output
E_form   0.1740 eV/atom
Total moment   0.00 μB/cell

```
TbNd5Tm
1.0
-1.603 -2.468 5.450
6.207 -6.570 2.370
4.424 5.427 5.782
Nd Tb Tm
10 2 2
Cartesian
7.064 -0.450 8.534
1.965 -3.161 5.067
5.523 -3.397 7.290
3.505 -0.214 6.311
3.268 -6.275 6.004
5.334 -3.706 3.916
5.761 2.664 7.597
3.694 0.095 9.686
5.183 -3.058 10.592
3.846 -0.553 3.010
0.000 0.000 0.000
2.212 2.714 2.891
0.463 0.002 4.162
8.565 -3.613 9.439
```

Compound: Tb4Nd8Tm
Source: Alexandria via LeMat-Bulk
Functional: PBE
Structure: optimized geometry

Output
E_form   0.1907 eV/atom
Total moment   0.00 μB/cell

```
Tb4Nd8Tm
1.0
6.427 0.000 -3.468
-4.149 6.010 0.000
1.471 1.017 10.419
Tb Nd Tm
4 8 1
Cartesian
3.214 0.000 -1.734
1.139 3.005 -1.734
0.000 0.000 0.000
-2.074 3.005 0.000
-0.332 1.794 2.891
2.598 1.794 1.310
6.339 1.963 4.059
2.781 1.921 5.156
-2.589 5.064 2.891
1.152 5.232 5.640
0.969 5.106 1.795
4.082 5.232 4.059
-1.339 3.513 5.209
```